V2OF5, optimized geometry, DFT PBE+U; magnetic moment = 3.0 μB/f.u.; energy above the most stable polymorph in this dataset = 0.0 meV/atom; Fermi-level density of states = 0.00 states/eV/f.u.; calculated total energy = -6.33 eV per atom
1.0
5.2900 0.0007 -0.0013
0.0004 13.4982 0.0039
2.6466 -0.0003 4.5804
O V F
3 6 15
direct
0.0249 0.7499 0.5505
0.0914 0.4167 0.6913
0.8842 0.0834 0.7577
0.0083 0.4931 0.9744
0.3319 0.3342 0.3456
0.6790 0.6675 0.6558
0.9891 0.0008 0.9986
0.3077 0.8265 0.3506
0.6840 0.1598 0.6750
0.6004 0.7503 0.3945
0.0019 0.2486 0.4079
0.7281 0.0837 0.3383
0.2566 0.9151 0.6688
0.2599 0.4235 0.0937
0.6720 0.4168 0.2668
0.0865 0.9215 0.2579
0.4275 0.7569 0.9796
0.4261 0.2455 0.5812
0.5909 0.2548 0.9890
0.3133 0.0901 0.9263
0.9142 0.5788 0.3260
0.6590 0.9123 0.0931
0.3220 0.5883 0.7536
0.7411 0.5818 0.9235